Entry from Alexandria: a relaxed HoFe2SnO6 crystal (GGA+U).

abc: 5.3261 5.3282 5.7045
angles: 62.29 89.49 60.18
Fractional positions:
Ho  0.0000  0.0000  0.0000
Fe  0.2115  0.5805  0.6215
Fe  0.7258  0.5453  0.1682
Sn  0.5200  0.9632  0.5466
O  0.1285  0.0444  0.3652
O  0.3346  0.1007  0.8308
O  0.4264  0.4547  0.3570
O  0.5654  0.4949  0.8290
O  0.8322  0.7522  0.3643
O  0.9336  0.7206  0.8416

Values from the calculation:
The electronic total energy comes out at -68.265 eV for the cell shown. Its space-group type is P1. As for the calculated density: 6.9 g cm⁻³. The magnetization comes out at 5.00 μB/f.u.